The following is a DFT calculation (PBE) of crystalline TlInW2 at its relaxed geometry.

a b c (Å): 3.159 3.160 8.659
angles (deg): 90.00 99.72 90.00
Space group Pm (No. 6)
Asymmetric unit:
Tl 0.000 0.000 0.000 (multiplicity 1)
In 0.151 0.500 0.334 (multiplicity 1)
W 0.404 0.500 0.740 (multiplicity 1)
W 0.748 0.000 0.571 (multiplicity 1)

**Total moment**: 0.0000 μB/atom
**ΔH_f (0 K)**: 0.536 eV/atom
**E above lowest polymorph**: 7 meV/atom
**Electronic total energy**: -7.22 eV per atom

***

The following is a DFT calculation (PBE) of crystalline Mn2CrSbH at its relaxed geometry.

a b c (Å): 3.833 3.833 3.932
angles (deg): 90.00 90.00 90.00
Space group P4/mmm (No. 123)
Asymmetric unit:
Mn 0.000 0.500 0.000 (multiplicity 2)
Cr 0.000 0.000 0.500 (multiplicity 1)
Sb 0.500 0.500 0.500 (multiplicity 1)
H 0.000 0.000 0.000 (multiplicity 1)

**Total moment**: 1.1872 μB/atom
**Electronic total energy**: -7.04 eV per atom

***

The following is a DFT calculation (PBE) of crystalline CsOs3Se at its relaxed geometry.

a b c (Å): 5.012 5.012 5.012
angles (deg): 90.00 90.00 90.00
Space group Pm-3m (No. 221)
Asymmetric unit:
Cs 0.000 0.000 0.000 (multiplicity 1)
Os 0.000 0.000 0.500 (multiplicity 3)
Se 0.500 0.500 0.500 (multiplicity 1)

**Formation energy without anion corrections**: 4.07 eV per atom
**Total moment**: 1.0757 μB/atom
**E above lowest polymorph**: 1948 meV/atom
**Electronic total energy**: -3.53 eV per atom

***

The following is a DFT calculation (PBE) of crystalline ReIr3 at its relaxed geometry.

a b c (Å): 6.223 6.223 6.223
angles (deg): 90.00 90.00 90.00
Space group Fm-3m (No. 225)
Asymmetric unit:
Re 0.000 0.000 0.000 (multiplicity 4)
Ir 0.000 0.000 0.500 (multiplicity 4)
Ir 0.250 0.250 0.250 (multiplicity 8)

**Total moment**: 0.0503 μB/atom
**ΔH_f (0 K)**: 0.507 eV/atom
**E above lowest polymorph**: 659 meV/atom
**Electronic total energy**: -9.25 eV per atom

***

The following is a DFT calculation (PBE) of crystalline Dy7Zn2Hg2 at its relaxed geometry.

a b c (Å): 7.547 11.001 7.587
angles (deg): 90.00 90.00 90.00
Space group Cmmm (No. 65)
Asymmetric unit:
Dy 0.000 0.000 0.000 (multiplicity 2)
Dy 0.000 0.500 0.244 (multiplicity 4)
Dy 0.250 0.250 0.279 (multiplicity 8)
Zn 0.000 0.291 0.000 (multiplicity 4)
Hg 0.187 0.000 0.500 (multiplicity 4)

**Total moment**: 0.0000 μB/atom
**ΔH_f (0 K)**: -0.054 eV/atom
**Electronic total energy**: -3.27 eV per atom

***

The following is a DFT calculation (PBE) of crystalline Pm12ZnCo5 at its relaxed geometry.

a b c (Å): 9.639 9.805 9.930
angles (deg): 90.00 90.00 90.00
Space group Immm (No. 71)
Asymmetric unit:
Pm 0.000 0.191 0.203 (multiplicity 8)
Pm 0.196 0.500 0.182 (multiplicity 8)
Pm 0.204 0.316 0.500 (multiplicity 8)
Zn 0.000 0.000 0.500 (multiplicity 2)
Co 0.000 0.000 0.000 (multiplicity 2)
Co 0.000 0.378 0.000 (multiplicity 4)
Co 0.000 0.500 0.387 (multiplicity 4)

**Total moment**: 0.0000 μB/atom
**ΔH_f (0 K)**: -0.105 eV/atom
**Electronic total energy**: -5.32 eV per atom